A relaxed structure of Ba2V3HO9. Source: the Alexandria database, functional PBE with a Hubbard U.

Lattice parameters (Å, degrees): 7.967 6.307 9.290 90.00 112.56 90.00
Space group P2_1/m (No. 11)
Unique sites:
Ba  0.177  0.250  0.089 (multiplicity 2)
Ba  0.238  0.750  0.746 (multiplicity 2)
V  0.064  0.750  0.329 (multiplicity 2)
V  0.451  0.750  0.165 (multiplicity 2)
V  0.500  0.000  0.500 (multiplicity 2)
H  0.225  0.250  0.476 (multiplicity 2)
O  0.000  0.031  0.791 (multiplicity 4)
O  0.051  0.250  0.547 (multiplicity 2)
O  0.228  0.750  0.041 (multiplicity 2)
O  0.308  0.750  0.452 (multiplicity 2)
O  0.325  0.250  0.437 (multiplicity 2)
O  0.424  0.250  0.948 (multiplicity 2)
O  0.493  0.513  0.279 (multiplicity 4)

## Properties
The final energy comes out at -7.24 eV per atom. The calculation puts the spin magnetization at 0.133 μB/atom. The value obtained for the density of states at the Fermi level is 0.00 states/eV per cell. Its volume is 431.1 Å³/cell. The density comes out at 4.4 g/cm³.